Computed, not measured: crystalline YCd2Cu at its relaxed geometry at the PBE level of DFT.

Results
ρ   7.75 g/cm³
Total DFT energy (no corrections)   -3.21 eV/atom
Magnetization   0.0 μB/cell

Cell: 6.863 6.863 6.863 Å, 90.00 90.00 90.00°
Space group F-43m (No. 216)
Asymmetric unit:
Y 0.000 0.000 0.000
Cd 0.000 0.000 0.500
Cd 0.250 0.250 0.750
Cu 0.250 0.250 0.250

Computed, not measured: crystalline Y2CdCu2 at its relaxed geometry at the PBE level of DFT.

Results
ρ   6.53 g/cm³
Total DFT energy (no corrections)   -4.57 eV/atom
Magnetization   0.0 μB/cell

Cell: 8.278 7.227 14.775 Å, 90.00 106.20 90.00°
Space group C2/c (No. 15)
Asymmetric unit:
Y 0.052 0.249 0.135
Y 0.082 0.251 0.628
Cd 0.250 0.026 0.000
Cu 0.149 0.024 0.799
Cu 0.149 0.478 0.799

Computed, not measured: crystalline YCdCu at its relaxed geometry at the PBE level of DFT.

Results
ρ   6.96 g/cm³
Total DFT energy (no corrections)   -4.01 eV/atom
Magnetization   0.0 μB/cell

Cell: 13.045 3.856 7.533 Å, 90.00 90.00 90.00°
Space group Pmma (No. 51)
Asymmetric unit:
Y 0.045 0.000 0.234
Y 0.250 0.000 0.849
Cd 0.118 0.500 0.570
Cd 0.250 0.500 0.196
Cu 0.091 0.500 0.946
Cu 0.250 0.000 0.449